This record from Alexandria via LeMat-Bulk describes a relaxed structure of CsNiOF2. The functional is GGA+U.

a = 5.156 Å, b = 5.156 Å, c = 4.429 Å
α = 90.00°, β = 90.00°, γ = 90.00°
Atoms (fractional coordinates):
Cs 0.000 0.000 0.000
Ni 0.500 0.500 0.500
O 0.000 0.000 0.500
F 0.000 0.500 0.000
F 0.500 0.000 0.000

* calculated volume: 118 Å³/cell
* DFT total energy: -11.94 eV per formula unit
* SG: P4/mmm